# NaOsF2 | Alexandria via LeMat-Bulk | PBE-GGA | optimized geometry
# Formation energy from raw total energies   -15.6 kJ per mole of atoms
# Excess energy over the best structure of this formula in the dataset   1255.4 meV per atom
# Space-group type   Fm-3m (225)
data_NaOsF2
_chemical_formula_sum 'Na1 Os1 F2'
_space_group_name_H-M_alt 'P 1'
_space_group_IT_number 1
_cell_length_a 4.2773
_cell_length_b 4.2773
_cell_length_c 4.2773
_cell_angle_alpha 60.00
_cell_angle_beta 60.00
_cell_angle_gamma 60.00
loop_
_space_group_symop_operation_xyz
'x,y,z'
loop_
_atom_site_label
_atom_site_type_symbol
_atom_site_fract_x
_atom_site_fract_y
_atom_site_fract_z
F1 F 0.2500 0.2500 0.2500
F2 F 0.7500 0.7500 0.7500
Os1 Os 0.5000 0.5000 0.5000
Na1 Na 0.0000 0.0000 0.0000

---

# Cs2Cd7InAu2 | Alexandria via LeMat-Bulk | PBE-GGA | optimized geometry
# Energy relative to the elements   -84.2 meV/atom
# Space-group type   C2/m (12)
data_Cs2Cd7InAu2
_chemical_formula_sum 'Cs2 Cd7 In1 Au2'
_space_group_name_H-M_alt 'P 1'
_space_group_IT_number 1
_cell_length_a 5.2210
_cell_length_b 5.2210
_cell_length_c 14.0944
_cell_angle_alpha 84.89
_cell_angle_beta 84.89
_cell_angle_gamma 88.36
loop_
_space_group_symop_operation_xyz
'x,y,z'
loop_
_atom_site_label
_atom_site_type_symbol
_atom_site_fract_x
_atom_site_fract_y
_atom_site_fract_z
Au1 Au 0.5510 0.5510 0.7861
Au2 Au 0.4490 0.4490 0.2139
Cd1 Cd 0.4699 0.9682 0.1310
Cd2 Cd 0.5000 0.5000 0.0000
Cd3 Cd 0.5922 0.5922 0.5877
Cd4 Cd 0.9682 0.4699 0.1310
Cd5 Cd 0.4078 0.4078 0.4123
Cd6 Cd 0.0318 0.5301 0.8690
Cd7 Cd 0.5301 0.0318 0.8690
Cs1 Cs 0.0761 0.0761 0.6626
Cs2 Cs 0.9239 0.9239 0.3374
In1 In 0.0000 0.0000 0.0000

---

# HgRh3 | Alexandria via LeMat-Bulk | PBE-GGA | optimized geometry
# Energy relative to the elements   235.5 meV/atom
# Space-group type   P-6m2 (187)
data_HgRh3
_chemical_formula_sum 'Hg1 Rh3'
_space_group_name_H-M_alt 'P 1'
_space_group_IT_number 1
_cell_length_a 2.8341
_cell_length_b 2.8341
_cell_length_c 9.1190
_cell_angle_alpha 90.00
_cell_angle_beta 90.00
_cell_angle_gamma 120.00
loop_
_space_group_symop_operation_xyz
'x,y,z'
loop_
_atom_site_label
_atom_site_type_symbol
_atom_site_fract_x
_atom_site_fract_y
_atom_site_fract_z
Rh1 Rh 0.3333 0.6667 0.2663
Rh2 Rh 0.0000 0.0000 0.5000
Rh3 Rh 0.3333 0.6667 0.7337
Hg1 Hg 0.0000 0.0000 0.0000

---

# La2SiRuCl | Alexandria via LeMat-Bulk | PBE-GGA | optimized geometry
# Formation energy from raw total energies   -24.4 kJ per mole of atoms
# Space-group type   P4/mmm (123)
data_La2SiRuCl
_chemical_formula_sum 'La2 Si1 Ru1 Cl1'
_space_group_name_H-M_alt 'P 1'
_space_group_IT_number 1
_cell_length_a 5.4572
_cell_length_b 4.5751
_cell_length_c 5.4572
_cell_angle_alpha 90.00
_cell_angle_beta 90.00
_cell_angle_gamma 90.00
loop_
_space_group_symop_operation_xyz
'x,y,z'
loop_
_atom_site_label
_atom_site_type_symbol
_atom_site_fract_x
_atom_site_fract_y
_atom_site_fract_z
Si1 Si 0.5000 0.5000 0.5000
La1 La 0.0000 0.0000 0.5000
La2 La 0.5000 0.0000 0.0000
Cl1 Cl 0.0000 0.5000 0.0000
Ru1 Ru 0.0000 0.0000 0.0000

---

Number 1: E -16.94 eV per formula unit. Number 2: E -18.42 eV per formula unit. Number 3: E -21.41 eV per formula unit. Number 4: E -27.67 eV per formula unit.